[1]
Entry from the Alexandria database: crystalline HfBiAsSe2 at its relaxed geometry (GGA-PBE).

Unit cell a=5.098 b=5.098 c=5.333 alpha=90.00 beta=90.00 gamma=90.00
Positions (direct):
As  0.000  0.000  0.500
Hf  0.000  0.000  0.000
Bi  0.500  0.500  0.500
Se  0.000  0.500  0.000
Se  0.500  0.000  0.000

The uncorrected formation energy comes out at -0.19 eV/atom. As for the offset from the most stable computed form: 0.000 eV per atom.

---

[2]
Entry from the Alexandria database: crystalline HfSiBiAs2 at its relaxed geometry (GGA-PBE).

Unit cell a=5.156 b=5.113 c=5.156 alpha=90.00 beta=90.00 gamma=90.00
Positions (direct):
Si  0.000  0.500  0.000
As  0.000  0.000  0.500
As  0.500  0.000  0.000
Hf  0.000  0.000  0.000
Bi  0.500  0.500  0.500

The uncorrected formation energy comes out at 0.38 eV/atom.

---

[3]
Entry from the Alexandria database: crystalline Hf2SnBiAs at its relaxed geometry (GGA-PBE).

Unit cell a=5.039 b=5.515 c=5.039 alpha=90.00 beta=90.00 gamma=90.00
Positions (direct):
As  0.000  0.000  0.000
Hf  0.000  0.000  0.500
Hf  0.500  0.000  0.000
Bi  0.000  0.500  0.000
Sn  0.500  0.500  0.500

As for the energy relative to the elements: 39.1 kJ/mol of atoms.

---

How do the records compare in D(E_F)? In the order shown, they have 4.644, 4.132, 6.721 states/eV per cell.